1.
VASP calculation (PBE) on NbO2F after structural relaxation.

abc: 5.6694 5.5342 5.6694
angles: 60.58 57.61 60.58
With the nearest neighbours (Å) after each atom.
Atoms (fractional coordinates):
Nb: 0.0000 0.0000 0.0000  4 O 1.96, 2 F 2.08
Nb: 0.5000 0.5000 0.5000  4 O 1.96, 2 F 2.08
O: 0.7186 0.7815 0.2310  2 Nb 1.96
O: 0.2690 0.7185 0.7814  2 Nb 1.96
O: 0.2814 0.2185 0.7690  2 Nb 1.96
O: 0.7310 0.2815 0.2186  2 Nb 1.96
F: 0.8088 0.2500 0.6912  2 Nb 2.08
F: 0.1912 0.7500 0.3088  2 Nb 2.08

Properties
Space group: C2/c (15)
ΔE_f (raw) (eV per atom): -2.616

2.
VASP calculation (PBE) on Pu2MgTl3Se6 after structural relaxation.

abc: 7.1865 7.1865 8.0887
angles: 98.52 98.52 119.99
With the nearest neighbours (Å) after each atom.
Atoms (fractional coordinates):
Pu: 0.6665 0.3335 0.0000  6 Se 2.86
Pu: 0.3335 0.6665 0.0000  6 Se 2.86
Tl: 0.8318 0.1682 0.5000  6 Se 3.32-3.34
Tl: 0.1682 0.8318 0.5000  6 Se 3.32-3.34
Tl: 0.5000 0.5000 0.5000  6 Se 3.32-3.35
Se: 0.9332 0.6032 0.7995  1 Mg 2.83, 2 Pu 2.86
Se: 0.2632 0.2632 0.7992  1 Mg 2.84, 2 Pu 2.86
Se: 0.3968 0.0668 0.2005  1 Mg 2.83, 2 Pu 2.86
Se: 0.7368 0.7368 0.2008  1 Mg 2.84, 2 Pu 2.86
Se: 0.0668 0.3968 0.2005  1 Mg 2.83, 2 Pu 2.86
Se: 0.6032 0.9332 0.7995  1 Mg 2.83, 2 Pu 2.86
Mg: 0.0000 0.0000 0.0000  6 Se 2.83-2.84

Properties
DOS at the Fermi energy (states/eV per cell): 19.32
Space group: C2/m (12)
ΔE_f (raw) (eV per atom): -1.001

3.
VASP calculation (PBE) on Ga2AsPb after structural relaxation.

abc: 3.8137 3.8137 8.9530
angles: 77.70 77.70 60.00
With the nearest neighbours (Å) after each atom.
Atoms (fractional coordinates):
Pb: 0.0000 0.0000 0.0000  2 Ga 2.93
As: 0.5000 0.5000 0.5000  6 Ga 2.62
Ga: 0.1124 0.1124 0.6628  3 As 2.62, 1 Pb 2.93
Ga: 0.8876 0.8876 0.3372  3 As 2.62, 1 Pb 2.93

Properties
DOS at the Fermi energy (states/eV per cell): 1.42
Space group: R-3m (166)
Polymorph energy (0 for the lowest one) (kJ per mole of atoms): 3.8
Formation energy (meV/atom): 50

4.
VASP calculation (PBE) on NiBP2Cl after structural relaxation.

abc: 4.1073 4.1073 7.3830
angles: 90.00 90.00 90.00
With the nearest neighbours (Å) after each atom.
Atoms (fractional coordinates):
P: 0.5000 0.0000 0.0000  2 Ni 2.05
P: 0.0000 0.5000 0.0000  2 Ni 2.05
B: 0.5000 0.5000 0.5000  4 Cl 2.90
Ni: 0.0000 0.0000 0.0000  4 P 2.05
Cl: 0.0000 0.0000 0.5000  4 B 2.90

Properties
DOS at the Fermi energy (states/eV per cell): 0.86
Space group: P4/mmm (123)
Polymorph energy (0 for the lowest one) (kJ per mole of atoms): 19.9
ΔE_f (raw) (eV per atom): 1.186

5.
VASP calculation (PBE) on K2InRh after structural relaxation.

abc: 6.4892 6.4892 6.4892
angles: 142.84 127.00 66.50
With the nearest neighbours (Å) after each atom.
Atoms (fractional coordinates):
K: 0.0192 0.0192 0.0000  4 K 3.61-3.87, 4 Rh 3.63, 4 In 3.68-3.77
K: 0.7179 0.2179 0.5000  4 Rh 3.54-3.86, 4 K 3.61-3.87, 4 In 3.70
In: 0.3099 0.8099 0.5000  2 Rh 2.59
Rh: 0.4530 0.4530 0.0000  2 In 2.59

Properties
DOS at the Fermi energy (states/eV per cell): 1.54
Space group: Imm2 (44)
Formation energy (meV/atom): 166

6.
VASP calculation (PBE) on GaCuBi after structural relaxation.

abc: 4.5365 4.5365 4.5365
angles: 60.00 60.00 60.00
With the nearest neighbours (Å) after each atom.
Atoms (fractional coordinates):
Cu: 0.2500 0.2500 0.2500  4 Bi 2.78, 4 Ga 2.78
Bi: 0.0000 0.0000 0.0000  4 Cu 2.78
Ga: 0.5000 0.5000 0.5000  4 Cu 2.78

Properties
DOS at the Fermi energy (states/eV per cell): 2.17
Space group: F-43m (216)
Polymorph energy (0 for the lowest one) (kJ per mole of atoms): 1.4
Formation energy (meV/atom): 96